Ba2Tl2Zn2Cr3O10: relaxed, PBE with a Hubbard U.

Cell: 3.884 3.900 19.671 Å, 89.22 89.98 89.99°
Each line ends with the local moment (μB).
Fractional positions:
Cr1 0.291 0.725 0.186  2.98
Cr2 0.790 0.250 0.815  2.98
Cr3 0.291 0.238 0.000  3.25
Zn1 0.791 0.229 0.121  0.01
Zn2 0.289 0.746 0.880  0.01
Tl1 0.790 0.226 0.554  0.00
Tl2 0.290 0.747 0.447  0.00
O1 0.791 0.725 0.167  -0.03
O2 0.291 0.718 0.283  -0.01
O3 0.291 0.226 0.164  -0.02
O4 0.790 0.385 0.432  0.01
O5 0.291 0.740 0.979  -0.14
O6 0.790 0.749 0.834  -0.03
O7 0.790 0.257 0.718  -0.01
O8 0.290 0.249 0.837  -0.02
O9 0.290 0.587 0.569  0.01
O10 0.791 0.237 0.022  -0.14
Ba1 0.290 0.755 0.699  0.01
Ba2 0.791 0.220 0.302  0.01

Summary:
Magnetization in μB/cell: 9.17
Space group: No. 1
D(E_F) in states/eV/cell: 2.51
E in eV per formula unit: -112.56